DFT (PBE) results for a geometry-optimized BeCr2Br structure.

Cell: 3.662 3.662 9.521 Å, 90.00 90.00 90.00°
Space group I-4m2 (No. 119)
Symmetry-distinct sites (fractional):
Be (0.000, 0.000, 0.000) x2
Cr (0.000, 0.000, 0.500) x2
Cr (0.000, 0.500, 0.250) x2
Br (0.000, 0.500, 0.750) x2

Energy above the most stable polymorph in this dataset   525 meV per atom
Formation energy (no corrections)   20.8 kcal/mol of atoms
Total magnetic moment   7.43 μB per formula unit
N(E_F)   4.02 states/eV/f.u.